Record 1
ZrFeCl2: optimized geometry, PBE.

For the energy relative to the elements, uncorrected, the calculation gives -1.56 eV per formula unit. For the energy above the lowest structure with this stoichiometry, the calculation gives 7.62 kcal/mol of atoms. The value obtained for the total energy is -5.567 eV/atom.

The space group is R-3m (No. 166, hexagonal axes) and the conventional cell measures 3.1666, 3.1666 and 30.6678 Å, with angles of 90.00, 90.00 and 120.00 degrees. The asymmetric unit holds Zr at (0.0000, 0.0000, 0.0000), Fe at (0.0000, 0.0000, 0.5000) and Cl at (0.0000, 0.0000, 0.2721).


Record 2
ZrFeCl: optimized geometry, PBE.

For the energy relative to the elements, uncorrected, the calculation gives -0.04 eV per formula unit. The value obtained for the total energy is -6.300 eV/atom.

The space group is P-6m2 (No. 187) and the conventional cell measures 4.0359, 4.0359 and 3.2058 Å, with angles of 90.00, 90.00 and 120.00 degrees. The asymmetric unit holds Zr at (0.0000, 0.0000, 0.0000), Fe at (0.6667, 0.3333, 0.5000) and Cl at (0.3333, 0.6667, 0.5000).


Record 3
ZrFeCl2: optimized geometry, PBE.

For the energy relative to the elements, uncorrected, the calculation gives -1.46 eV per formula unit. For the energy above the lowest structure with this stoichiometry, the calculation gives 8.22 kcal/mol of atoms. The value obtained for the total energy is -5.541 eV/atom.

The space group is Cm (No. 8) and the conventional cell measures 13.3380, 3.2722 and 3.9213 Å, with angles of 90.00, 107.01 and 90.00 degrees. The asymmetric unit holds Zr at (0.0000, 0.0000, 0.0000), Fe at (0.1421, 0.5000, 0.1412), Cl at (0.1482, 0.0000, 0.6474) and Cl at (0.3970, 0.0000, 0.3974).


Record 4
ZrFeCl2: optimized geometry, PBE.

For the energy relative to the elements, uncorrected, the calculation gives -2.49 eV per formula unit. For the energy above the lowest structure with this stoichiometry, the calculation gives 2.28 kcal/mol of atoms. The value obtained for the total energy is -5.798 eV/atom.

The space group is P4mm (No. 99) and the conventional cell measures 3.2012, 3.2012 and 8.0763 Å, with angles of 90.00, 90.00 and 90.00 degrees. The asymmetric unit holds Zr at (0.0000, 0.0000, 0.0000), Fe at (0.5000, 0.5000, 0.7828), Cl at (0.0000, 0.0000, 0.6499) and Cl at (0.5000, 0.5000, 0.2163).


- Which value of energy relative to the elements, uncorrected does entry 3 give?
  -1.46 eV per formula unit